[1]
# LaScNi2 (PBEsol, optimized geometry)
data_LaScNi2
_chemical_formula_sum 'La2 Sc2 Ni4'
_cell_length_a 4.2481
_cell_length_b 3.5439
_cell_length_c 9.8932
_cell_angle_alpha 90.00
_cell_angle_beta 90.00
_cell_angle_gamma 90.00
_space_group_name_H-M_alt 'A m m 2'
_space_group_IT_number 38
loop_
_space_group_symop_operation_xyz
'x,y,z'
'-x,-y,z'
'-x,y,z'
'x,-y,z'
'x,y+1/2,z+1/2'
'-x,-y+1/2,z+1/2'
'-x,y+1/2,z+1/2'
'x,-y+1/2,z+1/2'
loop_
_atom_site_label
_atom_site_type_symbol
_atom_site_fract_x
_atom_site_fract_y
_atom_site_fract_z
La1 La 0.0000 0.0000 0.0000
Sc1 Sc 0.5000 0.0000 0.7228
Ni1 Ni 0.0000 0.0000 0.2744
Ni2 Ni 0.5000 0.0000 0.4215
# Fermi-level density of states, states/eV per cell: 5.94
# E_form, eV/atom: -0.3423
# Energy above the most stable polymorph in this dataset, kJ per mole of atoms: 0.0
# V, Å³/f.u.: 74.5
# Total moment, μB/cell: 0.00

***

[2]
# KC2 (PBEsol, optimized geometry)
data_KC2
_chemical_formula_sum 'K1 C2'
_cell_length_a 4.1608
_cell_length_b 4.1608
_cell_length_c 5.7888
_cell_angle_alpha 90.00
_cell_angle_beta 90.00
_cell_angle_gamma 90.00
_space_group_name_H-M_alt 'P 4/m m m'
_space_group_IT_number 123
_space_group_name_Hall '-P 4 2'
loop_
_atom_site_label
_atom_site_type_symbol
_atom_site_fract_x
_atom_site_fract_y
_atom_site_fract_z
K1 K 0.0000 0.0000 0.0000
C1 C 0.0000 0.0000 0.5000
C2 C 0.5000 0.5000 0.0000
# Fermi-level density of states, states/eV per cell: 4.59
# E_form, eV/atom: 4.2437
# Energy above the most stable polymorph in this dataset, kJ per mole of atoms: 364.1
# V, Å³/f.u.: 100.2
# Total moment, μB/cell: 5.00

***

[3]
# TeRuW (PBEsol, optimized geometry)
data_TeRuW
_chemical_formula_sum 'Te1 Ru1 W1'
_cell_length_a 4.4006
_cell_length_b 4.4006
_cell_length_c 2.9666
_cell_angle_alpha 90.00
_cell_angle_beta 90.00
_cell_angle_gamma 120.00
_space_group_name_H-M_alt 'P 3 m 1'
_space_group_IT_number 156
loop_
_space_group_symop_operation_xyz
'x,y,z'
'-y,x-y,z'
'-x+y,-x,z'
'-y,-x,z'
'-x+y,y,z'
'x,x-y,z'
loop_
_atom_site_label
_atom_site_type_symbol
_atom_site_fract_x
_atom_site_fract_y
_atom_site_fract_z
Te1 Te 0.0000 0.0000 0.0000
Ru1 Ru 0.6667 0.3333 0.2017
W1 W 0.3333 0.6667 0.6763
# Fermi-level density of states, states/eV per cell: 2.29
# Energy above the most stable polymorph in this dataset, kJ per mole of atoms: 1.5
# V, Å³/f.u.: 49.8
# Formation energy without anion corrections, eV per atom: 0.61
# Total moment, μB/cell: 0.00

***

[4]
# CaPt2Br (PBEsol, optimized geometry)
data_CaPt2Br
_chemical_formula_sum 'Ca2 Pt4 Br2'
_cell_length_a 5.5384
_cell_length_b 10.2998
_cell_length_c 3.2348
_cell_angle_alpha 90.00
_cell_angle_beta 125.36
_cell_angle_gamma 90.00
_space_group_name_H-M_alt 'C 1 2/m 1'
_space_group_IT_number 12
loop_
_space_group_symop_operation_xyz
'x,y,z'
'-x,-y,-z'
'-x,y,-z'
'x,-y,z'
'x+1/2,y+1/2,z'
'-x+1/2,-y+1/2,-z'
'-x+1/2,y+1/2,-z'
'x+1/2,-y+1/2,z'
loop_
_atom_site_label
_atom_site_type_symbol
_atom_site_fract_x
_atom_site_fract_y
_atom_site_fract_z
Ca1 Ca 0.0000 0.0000 0.0000
Pt1 Pt 0.2500 0.2500 0.5000
Br1 Br 0.0000 0.5000 0.0000
# Fermi-level density of states, states/eV per cell: 3.30
# Energy above the most stable polymorph in this dataset, kJ per mole of atoms: 3.7
# V, Å³/f.u.: 75.2
# Formation energy without anion corrections, eV per atom: -0.37
# Total moment, μB/cell: 0.00

***

[5]
# Sr2RhI (PBEsol, optimized geometry)
data_Sr2RhI
_chemical_formula_sum 'Sr8 Rh4 I4'
_cell_length_a 7.6146
_cell_length_b 7.6146
_cell_length_c 7.6146
_cell_angle_alpha 90.00
_cell_angle_beta 90.00
_cell_angle_gamma 90.00
_space_group_name_H-M_alt 'F m -3 m'
_space_group_IT_number 225
_space_group_name_Hall '-F 4 2 3'
loop_
_atom_site_label
_atom_site_type_symbol
_atom_site_fract_x
_atom_site_fract_y
_atom_site_fract_z
Sr1 Sr 0.2500 0.2500 0.2500
Rh1 Rh 0.0000 0.0000 0.0000
I1 I 0.0000 0.0000 0.5000
# V, Å³/f.u.: 110.4
# Formation energy without anion corrections, eV per atom: -0.45
# Total moment, μB/cell: 0.00

***

[6]
# MnTeP2 (PBEsol, optimized geometry)
data_MnTeP2
_chemical_formula_sum 'Mn2 Te2 P4'
_cell_length_a 5.7407
_cell_length_b 7.1146
_cell_length_c 3.3755
_cell_angle_alpha 90.00
_cell_angle_beta 90.00
_cell_angle_gamma 90.00
_space_group_name_H-M_alt 'C m m m'
_space_group_IT_number 65
_space_group_name_Hall '-C 2 2'
loop_
_atom_site_label
_atom_site_type_symbol
_atom_site_fract_x
_atom_site_fract_y
_atom_site_fract_z
Mn1 Mn 0.0000 0.0000 0.0000
Te1 Te 0.0000 0.5000 0.0000
P1 P 0.2500 0.2500 0.5000
# Fermi-level density of states, states/eV per cell: 4.68
# V, Å³/f.u.: 68.9
# Formation energy without anion corrections, eV per atom: 0.56
# Total moment, μB/cell: 7.31